(1)
A plane-wave DFT calculation with PBE was carried out for a geometry-optimized LaTaNbIr2 structure.

Fermi-level density of states (states/eV/atom): 0.499
DFT formation energy (eV per atom): -0.58

Unit cell a=4.495 b=4.495 c=10.627 alpha=90.00 beta=90.00 gamma=90.00
Element x y z (fractional)
La1 0.000 0.000 0.000
La2 0.500 0.500 0.500
Ta1 0.000 0.500 0.750
Ta2 0.500 0.000 0.250
Nb1 0.000 0.500 0.250
Nb2 0.500 0.000 0.750
Ir1 0.000 0.000 0.373
Ir2 0.000 0.000 0.627
Ir3 0.500 0.500 0.127
Ir4 0.500 0.500 0.873

(2)
A plane-wave DFT calculation with PBE was carried out for a geometry-optimized La2NbTcIr structure.

Fermi-level density of states (states/eV/atom): 0.972
DFT formation energy (eV per atom): 0.75

Unit cell a=5.418 b=5.418 c=4.704 alpha=90.00 beta=90.00 gamma=90.00
Element x y z (fractional)
La1 0.000 0.500 0.000
La2 0.500 0.000 0.000
Nb1 0.000 0.000 0.500
Tc1 0.500 0.500 0.000
Ir1 0.500 0.500 0.500

(3)
A plane-wave DFT calculation with PBE was carried out for a geometry-optimized LaTiNbIr2 structure.

Fermi-level density of states (states/eV/atom): 0.761
DFT formation energy (eV per atom): -0.69

Unit cell a=4.422 b=4.422 c=10.670 alpha=90.00 beta=90.00 gamma=90.00
Element x y z (fractional)
La1 0.000 0.000 0.000
La2 0.500 0.500 0.500
Ti1 0.000 0.500 0.750
Ti2 0.500 0.000 0.250
Nb1 0.000 0.500 0.250
Nb2 0.500 0.000 0.750
Ir1 0.000 0.000 0.375
Ir2 0.000 0.000 0.625
Ir3 0.500 0.500 0.125
Ir4 0.500 0.500 0.875

(4)
A plane-wave DFT calculation with PBE was carried out for a geometry-optimized LaNbVIr2 structure.

Fermi-level density of states (states/eV/atom): 0.950
DFT formation energy (eV per atom): 0.45

Unit cell a=4.915 b=4.915 c=4.636 alpha=90.00 beta=90.00 gamma=90.00
Element x y z (fractional)
La1 0.000 0.000 0.000
Nb1 0.500 0.500 0.500
V1 0.500 0.500 0.000
Ir1 0.000 0.500 0.500
Ir2 0.500 0.000 0.500

(5)
A plane-wave DFT calculation with PBE was carried out for a geometry-optimized LaNbZn2Ir structure.

Fermi-level density of states (states/eV/atom): 0.884
DFT formation energy (eV per atom): 0.07

Unit cell a=4.837 b=4.837 c=4.928 alpha=90.00 beta=90.00 gamma=90.00
Element x y z (fractional)
La1 0.000 0.000 0.000
Nb1 0.500 0.500 0.000
Zn1 0.000 0.500 0.500
Zn2 0.500 0.000 0.500
Ir1 0.500 0.500 0.500

(6)
A plane-wave DFT calculation with PBE was carried out for a geometry-optimized La2Nd3Ir2 structure.

Fermi-level density of states (states/eV/atom): 1.186
DFT formation energy (eV per atom): -0.51

Unit cell a=12.549 b=3.969 c=9.322 alpha=90.00 beta=115.27 gamma=90.00
Element x y z (fractional)
La1 0.172 0.000 0.307
La2 0.328 0.500 0.693
La3 0.672 0.500 0.307
La4 0.828 0.000 0.693
Nd1 0.000 0.500 0.500
Nd2 0.118 0.500 0.922
Nd3 0.382 0.000 0.078
Nd4 0.500 0.000 0.500
Nd5 0.618 0.000 0.922
Nd6 0.882 0.500 0.078
Ir1 0.182 0.000 0.744
Ir2 0.318 0.500 0.256
Ir3 0.682 0.500 0.744
Ir4 0.818 0.000 0.256

(7)
A plane-wave DFT calculation with PBE was carried out for a geometry-optimized La3Nd4Ir4 structure.

Fermi-level density of states (states/eV/atom): 0.821
DFT formation energy (eV per atom): -0.51

Unit cell a=9.231 b=9.231 c=9.231 alpha=151.36 beta=127.90 gamma=60.53
Element x y z (fractional)
La1 0.000 0.000 0.000
La2 0.404 0.904 0.500
La3 0.596 0.096 0.500
Nd1 0.042 0.331 0.711
Nd2 0.380 0.669 0.711
Nd3 0.620 0.331 0.289
Nd4 0.958 0.669 0.289
Ir1 0.209 0.209 0.000
Ir2 0.316 0.500 0.816
Ir3 0.684 0.500 0.184
Ir4 0.791 0.791 0.000

(8)
A plane-wave DFT calculation with PBE was carried out for a geometry-optimized LaNdIr structure.

Fermi-level density of states (states/eV/atom): 0.735
DFT formation energy (eV per atom): -0.54
Offset from the most stable computed form (eV/atom): 0.0271

Unit cell a=7.055 b=7.055 c=7.055 alpha=90.00 beta=90.00 gamma=90.00
Element x y z (fractional)
La1 0.000 0.000 0.000
La2 0.000 0.500 0.500
La3 0.500 0.000 0.500
La4 0.500 0.500 0.000
Nd1 0.000 0.000 0.500
Nd2 0.000 0.500 0.000
Nd3 0.500 0.000 0.000
Nd4 0.500 0.500 0.500
Ir1 0.250 0.250 0.250
Ir2 0.250 0.750 0.750
Ir3 0.750 0.250 0.750
Ir4 0.750 0.750 0.250

(9)
A plane-wave DFT calculation with PBE was carried out for a geometry-optimized LaNd2Ir9 structure.

Fermi-level density of states (states/eV/atom): 0.970
DFT formation energy (eV per atom): -0.52

Unit cell a=9.379 b=9.379 c=9.379 alpha=33.44 beta=33.44 gamma=33.44
Element x y z (fractional)
La1 0.000 0.000 0.000
Nd1 0.140 0.140 0.140
Nd2 0.860 0.860 0.860
Ir1 0.084 0.579 0.579
Ir2 0.332 0.332 0.332
Ir3 0.421 0.421 0.916
Ir4 0.421 0.916 0.421
Ir5 0.500 0.500 0.500
Ir6 0.579 0.084 0.579
Ir7 0.579 0.579 0.084
Ir8 0.668 0.668 0.668
Ir9 0.916 0.421 0.421

(10)
A plane-wave DFT calculation with PBE was carried out for a geometry-optimized La3NdIr structure.

Fermi-level density of states (states/eV/atom): 1.237
DFT formation energy (eV per atom): -0.26
Offset from the most stable computed form (eV/atom): 0.0437

Unit cell a=6.926 b=6.926 c=10.265 alpha=90.00 beta=90.00 gamma=137.69
Element x y z (fractional)
La1 0.128 0.872 0.000
La2 0.128 0.872 0.500
La3 0.368 0.632 0.750
La4 0.632 0.368 0.250
La5 0.872 0.128 0.000
La6 0.872 0.128 0.500
Nd1 0.367 0.633 0.250
Nd2 0.633 0.367 0.750
Ir1 0.001 0.999 0.750
Ir2 0.999 0.001 0.250

(11)
A plane-wave DFT calculation with PBE was carried out for a geometry-optimized La3Nd2Ir3 structure.

Fermi-level density of states (states/eV/atom): 0.660
DFT formation energy (eV per atom): -0.56

Unit cell a=7.231 b=7.231 c=14.068 alpha=90.28 beta=90.28 gamma=46.72
Element x y z (fractional)
La1 0.000 0.000 0.000
La2 0.000 0.000 0.265
La3 0.200 0.200 0.633
La4 0.617 0.617 0.813
La5 0.698 0.698 0.134
La6 0.898 0.898 0.503
Nd1 0.275 0.275 0.317
Nd2 0.276 0.276 0.950
Nd3 0.622 0.622 0.447
Nd4 0.892 0.892 0.768
Ir1 0.097 0.097 0.443
Ir2 0.098 0.098 0.822
Ir3 0.160 0.160 0.133
Ir4 0.735 0.735 0.630
Ir5 0.798 0.798 0.945
Ir6 0.801 0.801 0.324

(12)
A plane-wave DFT calculation with PBE was carried out for a geometry-optimized La3NdIr structure.

Fermi-level density of states (states/eV/atom): 1.921
DFT formation energy (eV per atom): -0.23
Offset from the most stable computed form (eV/atom): 0.0687

Unit cell a=5.697 b=5.697 c=5.697 alpha=90.00 beta=90.00 gamma=90.00
Element x y z (fractional)
La1 0.000 0.000 0.500
La2 0.000 0.500 0.000
La3 0.500 0.000 0.000
Nd1 0.500 0.500 0.500
Ir1 0.000 0.000 0.000

(13)
A plane-wave DFT calculation with PBE was carried out for a geometry-optimized LaNdIr structure.

Fermi-level density of states (states/eV/atom): 0.629
DFT formation energy (eV per atom): -0.54
Offset from the most stable computed form (eV/atom): 0.0261

Unit cell a=13.321 b=5.742 c=5.791 alpha=90.00 beta=115.71 gamma=90.00
Element x y z (fractional)
La1 0.137 0.000 0.388
La2 0.363 0.500 0.612
La3 0.637 0.500 0.388
La4 0.863 0.000 0.612
Nd1 0.113 0.500 0.863
Nd2 0.387 0.000 0.137
Nd3 0.613 0.000 0.863
Nd4 0.887 0.500 0.137
Ir1 0.125 0.500 0.375
Ir2 0.375 0.000 0.625
Ir3 0.625 0.000 0.375
Ir4 0.875 0.500 0.625

(14)
A plane-wave DFT calculation with PBE was carried out for a geometry-optimized LaNd3Ir2 structure.

Fermi-level density of states (states/eV/atom): 0.898
DFT formation energy (eV per atom): -0.46
Offset from the most stable computed form (eV/atom): 0.0799

Unit cell a=8.140 b=8.140 c=9.056 alpha=96.96 beta=96.96 gamma=34.41
Element x y z (fractional)
La1 0.174 0.174 0.338
La2 0.826 0.826 0.662
Nd1 0.048 0.048 0.841
Nd2 0.326 0.326 0.968
Nd3 0.398 0.398 0.410
Nd4 0.602 0.602 0.590
Nd5 0.674 0.674 0.032
Nd6 0.952 0.952 0.159
Ir1 0.204 0.204 0.693
Ir2 0.450 0.450 0.747
Ir3 0.550 0.550 0.253
Ir4 0.796 0.796 0.307